Density functional theory data (GGA-PBE) for BBr2Cl after structural relaxation.

Geometry as POSCAR:
```
BBr2Cl
1.0
0.000 3.527 3.527
3.527 0.000 3.527
3.527 3.527 0.000
B Br Cl
1 2 1
Cartesian
0.000 0.000 0.000
1.763 1.763 1.763
5.290 5.290 5.290
3.527 3.527 3.527
```

## Properties
- theoretical density (g/cm3) = 3.9
- ΔE to the lowest computed polymorph (meV per atom) = 2041
- E_form (uncorrected) (eV per atom) = 1.391
- D(E_F) (states/eV/f.u.) = 5.26

Density functional theory data (GGA-PBE) for NpAgSeO5 after structural relaxation.

Geometry as POSCAR:
```
NpAgSeO5
1.0
-4.262 -8.374 -2.978
3.807 -2.027 0.252
0.977 -4.594 11.519
Np Ag Se O
4 4 4 20
Cartesian
0.100 -4.715 8.044
-1.194 -4.002 1.722
1.717 -10.993 7.071
0.422 -10.279 0.749
-0.807 -11.361 4.347
-0.175 -6.864 -0.630
0.698 -8.131 9.423
1.329 -3.634 4.446
-0.899 -7.299 2.731
-1.818 -12.361 7.507
1.422 -7.696 6.062
2.341 -2.633 1.286
-1.945 -10.138 -0.174
3.227 -7.836 9.659
-0.044 -1.504 1.415
1.724 -10.710 8.926
-1.065 -8.478 1.468
2.467 -4.857 8.967
-0.935 -6.511 6.211
1.248 -3.926 1.670
-1.201 -4.285 -0.133
-2.705 -7.158 -0.866
2.634 -5.744 3.827
0.567 -13.491 7.378
-0.266 -11.362 2.118
1.587 -6.516 7.325
0.789 -3.632 6.675
-0.725 -11.069 7.124
-2.112 -9.251 4.966
0.150 -6.152 1.930
0.372 -8.843 6.863
1.457 -8.484 2.582
```

## Properties
- theoretical density (g/cm3) = 6.6
- ΔE to the lowest computed polymorph (meV per atom) = 18
- E_form (uncorrected) (eV per atom) = -1.566
- D(E_F) (states/eV/f.u.) = 5.15

Density functional theory data (GGA-PBE) for SmHoRu4 after structural relaxation.

Geometry as POSCAR:
```
SmHoRu4
1.0
-4.627 -1.567 2.199
-3.400 -3.049 -2.801
-0.723 -5.135 1.344
Ru Ho Sm
4 1 1
Cartesian
-5.108 -3.525 -0.209
-3.768 -4.570 1.866
-5.470 -6.097 0.464
-3.153 -5.312 -0.637
0.000 0.000 0.000
-2.187 -2.438 0.186
```

## Properties
- formation energy from the elements (eV/atom) = -0.256
- theoretical density (g/cm3) = 11.0
- D(E_F) (states/eV/f.u.) = 6.49

Density functional theory data (GGA-PBE) for ErSc3 after structural relaxation.

Geometry as POSCAR:
```
ErSc3
1.0
-0.177 -3.672 -4.096
2.559 -4.341 3.781
-5.813 -1.678 1.756
Er Sc
2 6
Cartesian
-1.055 -5.988 -0.133
-2.376 -3.703 1.574
-5.142 -2.824 0.905
1.711 -6.867 0.536
0.994 -3.628 1.360
-4.425 -6.064 0.080
-0.065 -5.587 3.162
-3.366 -4.105 -1.722
```

## Properties
- formation energy from the elements (eV/atom) = 0.222
- theoretical density (g/cm3) = 4.6
- ΔE to the lowest computed polymorph (meV per atom) = 206
- D(E_F) (states/eV/f.u.) = 7.17

Density functional theory data (GGA-PBE) for LuCdPt after structural relaxation.

Geometry as POSCAR:
```
LuCdPt
1.0
4.655 0.000 0.000
2.327 4.031 0.000
2.327 1.344 3.800
Lu Pt Cd
1 1 1
Cartesian
0.000 0.000 0.000
2.327 1.344 0.950
4.655 2.687 1.900
```

## Properties
- formation energy from the elements (eV/atom) = -0.799
- theoretical density (g/cm3) = 11.2
- D(E_F) (states/eV/f.u.) = 1.46

Density functional theory data (GGA-PBE) for Zn2CuAu3 after structural relaxation.

Geometry as POSCAR:
```
Zn2CuAu3
1.0
-0.947 -2.766 0.122
4.115 -2.736 4.994
-5.517 0.727 8.723
Zn Cu Au
4 2 6
Cartesian
-3.693 -2.931 10.143
1.344 -1.845 3.696
-2.760 -1.896 5.769
0.411 -2.880 8.070
-2.036 -2.035 8.219
-0.313 -2.740 5.620
-3.657 0.034 7.451
1.308 -4.809 6.388
-2.521 -3.226 12.531
0.172 -1.549 1.309
-1.135 -3.811 10.049
-1.214 -0.965 3.791
```

## Properties
- formation energy from the elements (eV/atom) = -0.073
- theoretical density (g/cm3) = 13.0
- ΔE to the lowest computed polymorph (meV per atom) = 85
- D(E_F) (states/eV/f.u.) = 2.02

Density functional theory data (GGA-PBE) for SmTh2Pd2 after structural relaxation.

Geometry as POSCAR:
```
SmTh2Pd2
1.0
3.842 0.000 0.000
0.000 8.201 0.000
0.000 0.000 8.201
Sm Th Pd
2 4 4
Cartesian
0.000 0.000 0.000
0.000 4.100 4.100
1.921 1.393 5.493
1.921 5.493 6.808
1.921 6.808 2.708
1.921 2.708 1.393
0.000 3.068 7.168
0.000 7.168 5.133
0.000 5.133 1.032
0.000 1.032 3.068
```

## Properties
- formation energy from the elements (eV/atom) = -0.601
- theoretical density (g/cm3) = 10.6
- ΔE to the lowest computed polymorph (meV per atom) = 0
- D(E_F) (states/eV/f.u.) = 6.08

Density functional theory data (GGA-PBE) for LiInSn6 after structural relaxation.

Geometry as POSCAR:
```
LiInSn6
1.0
4.500 0.000 0.000
0.000 4.500 0.000
0.000 0.000 10.457
Li In Sn
1 1 6
Cartesian
0.000 0.000 5.229
0.000 0.000 0.000
2.250 2.250 0.000
2.250 2.250 5.229
2.250 0.000 2.769
2.250 0.000 7.688
0.000 2.250 2.769
0.000 2.250 7.688
```

## Properties
- formation energy from the elements (eV/atom) = -0.040
- theoretical density (g/cm3) = 6.5
- D(E_F) (states/eV/f.u.) = 2.59

Density functional theory data (GGA-PBE) for Na2AlRh2 after structural relaxation.

Geometry as POSCAR:
```
Na2AlRh2
1.0
-3.894 0.554 4.879
-2.398 -5.648 -1.272
3.366 -2.088 2.924
Na Rh Al
4 4 2
Cartesian
-0.590 -4.737 1.441
-2.917 -5.356 3.679
-2.336 -2.444 5.089
-0.008 -1.825 2.852
-3.456 -4.651 0.658
-4.881 -3.146 3.374
-2.836 -0.443 2.949
-1.410 -1.948 0.233
0.000 0.000 0.000
-3.146 -2.547 1.803
```

## Properties
- formation energy from the elements (eV/atom) = -0.067
- theoretical density (g/cm3) = 4.8
- D(E_F) (states/eV/f.u.) = 5.01

Density functional theory data (GGA-PBE) for Mo2Ru2Rh after structural relaxation.

Geometry as POSCAR:
```
Mo2Ru2Rh
1.0
7.272 0.000 0.000
0.000 7.272 0.000
0.000 0.000 2.908
Ru Mo Rh
4 4 2
Cartesian
2.675 6.311 0.000
6.311 4.596 0.000
4.596 0.960 0.000
0.960 2.675 0.000
1.225 4.861 1.454
4.861 6.046 1.454
6.046 2.410 1.454
2.410 1.225 1.454
0.000 0.000 0.000
3.636 3.636 0.000
```

## Properties
- formation energy from the elements (eV/atom) = 0.134
- theoretical density (g/cm3) = 10.7
- ΔE to the lowest computed polymorph (meV per atom) = 130
- D(E_F) (states/eV/f.u.) = 3.98

Density functional theory data (GGA-PBE) for InSi2PdPt after structural relaxation.

Geometry as POSCAR:
```
InSi2PdPt
1.0
-2.403 3.797 -0.328
-4.367 -2.832 -0.799
-0.752 -0.093 4.441
Si Pd Pt In
2 1 1 1
Cartesian
-0.376 -0.046 2.221
-1.201 1.899 -0.164
0.000 0.000 0.000
-2.183 -1.416 -0.399
-3.761 0.436 1.657
```

## Properties
- theoretical density (g/cm3) = 7.3
- ΔE to the lowest computed polymorph (meV per atom) = 172
- E_form (uncorrected) (eV per atom) = 0.393
- D(E_F) (states/eV/f.u.) = 2.00

Density functional theory data (GGA-PBE) for YMnAl2 after structural relaxation.

Geometry as POSCAR:
```
YMnAl2
1.0
4.635 0.000 0.000
0.000 4.635 0.000
2.318 2.318 8.352
Y Mn Al
2 2 4
Cartesian
0.000 0.000 0.000
4.635 2.318 4.176
2.318 2.318 0.000
2.318 4.635 4.176
2.674 1.159 2.088
1.961 3.476 2.088
3.476 4.279 6.264
5.794 4.992 6.264
```

## Properties
- formation energy from the elements (eV/atom) = 0.404
- theoretical density (g/cm3) = 3.7
- D(E_F) (states/eV/f.u.) = 6.74

Q: Which of these has the highest D(E_F)?
A: ErSc3